PmHo3Au2 (PBE, optimized geometry); spin magnetization = 0.00 μB per formula unit; VASP energy = -4.7994 eV per atom; energy of formation = -0.6263 eV/atom; space-group type = Pmc2_1, No. 26
1.0
4.973 0.000 0.000
0.000 8.961 0.000
0.000 0.000 7.164
Pm Ho Au
2 6 4
Direct
0.000 0.075 0.000
0.000 0.925 0.500
0.000 0.332 0.636
0.000 0.668 0.136
0.500 0.171 0.338
0.500 0.429 0.975
0.500 0.571 0.475
0.500 0.829 0.838
0.000 0.353 0.235
0.000 0.647 0.735
0.500 0.156 0.742
0.500 0.844 0.242